Entry 1:
Material: RuSe2Br
Method: DFT, PBE
State: optimized geometry

a = 3.0617 Å, b = 3.0617 Å, c = 11.2970 Å
α = 90.00°, β = 90.00°, γ = 122.25°
With the nearest neighbours (Å) after each atom.
Fractional coordinates of all 4 atoms:
Br: 0.0000 0.0000 0.5692  2 Ru 2.63
Ru: 0.5000 0.5000 0.7614  2 Se 2.44, 2 Br 2.63
Se: 0.0000 0.0000 0.9328  2 Ru 2.44
Se: 0.5000 0.5000 0.2367  6 Se 2.96-3.06

Results
Space-group type: Cmm2 (35)
Formation energy without anion corrections (eV/atom): 0.469
Total energy (eV/atom): -4.011

---

Entry 2:
Material: Ru2SeBr
Method: DFT, PBE
State: optimized geometry

a = 5.9749 Å, b = 5.9749 Å, c = 5.9749 Å
α = 151.42°, β = 137.48°, γ = 52.03°
With the nearest neighbours (Å) after each atom.
Fractional coordinates of all 4 atoms:
Br: 0.2392 0.7392 0.5000  4 Ru 2.63, 2 Br 2.95
Ru: 0.9700 0.9700 0.0000  4 Ru 2.67-2.95, 4 Se 2.69
Ru: 0.7633 0.2633 0.5000  4 Br 2.63, 4 Ru 2.67-2.95, 2 Se 2.93
Se: 0.5276 0.5276 0.0000  6 Ru 2.69-2.93, 2 Se 2.95

Results
Space-group type: Imm2 (44)
Formation energy without anion corrections (eV/atom): 0.631
Total energy (eV/atom): -5.296

---

Entry 3:
Material: RuSe2Br
Method: DFT, PBE
State: optimized geometry

a = 4.6878 Å, b = 4.6846 Å, c = 4.6834 Å
α = 70.06°, β = 71.50°, γ = 109.98°
With the nearest neighbours (Å) after each atom.
Fractional coordinates of all 4 atoms:
Br: 0.0000 0.5000 0.5000  4 Se 2.69, 2 Ru 2.74
Ru: 0.5000 0.5000 0.0000  4 Se 2.69, 2 Br 2.74
Se: 0.0000 0.0000 0.0000  2 Br 2.69, 2 Ru 2.69, 2 Se 2.74
Se: 0.5000 0.0000 0.5000  2 Ru 2.69, 2 Br 2.69, 2 Se 2.74

Results
Space-group type: I4/mmm (139)
Formation energy without anion corrections (eV/atom): 0.567
Total energy (eV/atom): -3.912

---

Entry 4:
Material: Ru2SeBr
Method: DFT, PBE
State: optimized geometry

a = 3.0122 Å, b = 3.0122 Å, c = 10.0635 Å
α = 90.00°, β = 90.00°, γ = 122.20°
With the nearest neighbours (Å) after each atom.
Fractional coordinates of all 4 atoms:
Br: 0.5000 0.5000 0.8089  2 Ru 2.55
Ru: 0.0000 0.0000 0.0173  2 Br 2.55, 2 Ru 2.65
Ru: 0.5000 0.5000 0.2379  2 Se 2.47, 2 Ru 2.65
Se: 0.0000 0.0000 0.4360  2 Ru 2.47

Results
Space-group type: Cmm2 (35)
Formation energy without anion corrections (eV/atom): 0.628
Total energy (eV/atom): -5.299

---

Entry 5:
Material: Ru2SeBr
Method: DFT, PBE
State: optimized geometry

a = 5.4047 Å, b = 5.4047 Å, c = 5.4047 Å
α = 139.47°, β = 139.47°, γ = 58.66°
With the nearest neighbours (Å) after each atom.
Fractional coordinates of all 4 atoms:
Br: 0.7500 0.2500 0.5000  4 Ru 2.65
Ru: 0.0000 0.0000 0.0000  4 Se 2.65
Ru: 0.2500 0.7500 0.5000  4 Br 2.65
Se: 0.5000 0.5000 0.0000  4 Ru 2.65

Results
Space-group type: I-4m2 (119)
Formation energy without anion corrections (eV/atom): 0.900
Total energy (eV/atom): -5.027

---

Entry 6:
Material: RuSe2Br
Method: DFT, PBE
State: optimized geometry

a = 3.4392 Å, b = 3.4477 Å, c = 7.4778 Å
α = 90.00°, β = 90.00°, γ = 90.00°
With the nearest neighbours (Å) after each atom.
Fractional coordinates of all 4 atoms:
Br: 0.0000 0.0000 0.5642  1 Se 2.91, 4 Ru 3.12
Ru: 0.5000 0.5000 0.8251  5 Se 2.49-2.62
Se: 0.0000 0.0000 0.9528  4 Ru 2.62, 4 Se 2.88, 1 Br 2.91
Se: 0.5000 0.5000 0.1578  1 Ru 2.49

Results
Space-group type: P4mm (99)
Formation energy without anion corrections (eV/atom): 0.359
Total energy (eV/atom): -4.120

---

Entry 7:
Material: Ru2SeBr
Method: DFT, PBE
State: optimized geometry

a = 5.5676 Å, b = 5.5676 Å, c = 6.8884 Å
α = 66.16°, β = 66.16°, γ = 90.00°
With the nearest neighbours (Å) after each atom.
Fractional coordinates of all 8 atoms:
Ru: 0.5996 0.1250 0.2500  2 Se 2.34, 2 Br 2.51
Ru: 0.1504 0.6250 0.2500  2 Se 2.34, 2 Br 2.51
Ru: 0.3750 0.4004 0.7500  2 Se 2.34, 2 Br 2.51
Ru: 0.8750 0.8496 0.7500  2 Se 2.34, 2 Br 2.51
Se: 0.5000 0.5000 0.0000  4 Ru 2.34
Se: 0.2500 0.7500 0.5000  4 Ru 2.34
Br: 0.0000 0.0000 0.0000  4 Ru 2.51
Br: 0.7500 0.2500 0.5000  4 Ru 2.51

Results
Space-group type: I-42d (122)
Formation energy without anion corrections (eV/atom): 0.543
Total energy (eV/atom): -5.385

---

Entry 8:
Material: RuSe2Br
Method: DFT, PBE
State: optimized geometry

a = 7.0686 Å, b = 7.0686 Å, c = 7.0686 Å
α = 152.44°, β = 143.34°, γ = 46.47°
With the nearest neighbours (Å) after each atom.
Fractional coordinates of all 4 atoms:
Br: 0.4104 0.4104 0.0000  2 Ru 2.66
Ru: 0.2523 0.7523 0.5000  2 Se 2.45, 2 Br 2.66
Se: 0.1157 0.1157 0.0000  2 Ru 2.45, 2 Se 2.61
Se: 0.7216 0.2216 0.5000  2 Se 2.61, 4 Ru 2.82

Results
Space-group type: Imm2 (44)
Formation energy without anion corrections (eV/atom): 0.092
Total energy (eV/atom): -4.388

---

Entry 9:
Material: RuSe2Br
Method: DFT, PBE
State: optimized geometry

a = 5.7138 Å, b = 5.7138 Å, c = 7.1059 Å
α = 62.46°, β = 62.46°, γ = 34.03°
With the nearest neighbours (Å) after each atom.
Fractional coordinates of all 4 atoms:
Br: 0.5980 0.5980 0.4436  2 Ru 2.65
Ru: 0.2492 0.2492 0.1253  4 Se 2.43, 2 Br 2.65
Se: 0.9311 0.9311 0.0297  2 Ru 2.43
Se: 0.7217 0.7217 0.9013  2 Ru 2.43

Results
Space-group type: Cm (8)
Formation energy without anion corrections (eV/atom): -0.003
Total energy (eV/atom): -4.483

---

Entry 10:
Material: Ru2SeBr
Method: DFT, PBE
State: optimized geometry

a = 3.8126 Å, b = 3.1941 Å, c = 6.5617 Å
α = 99.86°, β = 90.00°, γ = 90.00°
With the nearest neighbours (Å) after each atom.
Fractional coordinates of all 4 atoms:
Br: 0.5000 0.7500 0.7500  4 Ru 2.85
Ru: 0.0000 0.9380 0.0761  2 Se 2.35
Ru: 0.0000 0.5620 0.4239  2 Se 2.35
Se: 0.5000 0.2500 0.2500  4 Ru 2.35

Results
Space-group type: P2/m (10)
Formation energy without anion corrections (eV/atom): 0.593
Total energy (eV/atom): -5.334

---

Entry 11:
Material: RuSeBr3
Method: DFT, PBE
State: optimized geometry

a = 5.3603 Å, b = 5.3603 Å, c = 5.3603 Å
α = 90.00°, β = 90.00°, γ = 90.00°
With the nearest neighbours (Å) after each atom.
Fractional coordinates of all 5 atoms:
Ru: 0.5000 0.5000 0.5000  12 Br 3.79
Se: 0.0000 0.0000 0.0000  6 Br 2.68
Br: 0.0000 0.5000 0.0000  2 Se 2.68
Br: 0.0000 0.0000 0.5000  2 Se 2.68
Br: 0.5000 0.0000 0.0000  2 Se 2.68

Results
Space-group type: Pm-3m (221)
Formation energy without anion corrections (eV/atom): 0.928
Total energy (eV/atom): -2.627

---

Entry 12:
Material: Ru2SeBr
Method: DFT, PBE
State: optimized geometry

a = 5.2606 Å, b = 5.2606 Å, c = 5.2606 Å
α = 146.49°, β = 112.76°, γ = 77.25°
With the nearest neighbours (Å) after each atom.
Fractional coordinates of all 4 atoms:
Br: 0.2500 0.7500 0.5000  4 Ru 2.70
Ru: 0.9776 0.9776 0.0000  2 Se 2.41
Ru: 0.5224 0.5224 0.0000  2 Se 2.41
Se: 0.7500 0.2500 0.5000  4 Ru 2.41

Results
Space-group type: Immm (71)
Formation energy without anion corrections (eV/atom): 0.777
Total energy (eV/atom): -5.150

---

> What is the formula in the first record?

RuSe2Br

---

Please write out number 1 again, unchanged.
Material: RuSe2Br
Method: DFT, PBE
State: optimized geometry

a = 3.0617 Å, b = 3.0617 Å, c = 11.2970 Å
α = 90.00°, β = 90.00°, γ = 122.25°
With the nearest neighbours (Å) after each atom.
Fractional coordinates of all 4 atoms:
Br: 0.0000 0.0000 0.5692  2 Ru 2.63
Ru: 0.5000 0.5000 0.7614  2 Se 2.44, 2 Br 2.63
Se: 0.0000 0.0000 0.9328  2 Ru 2.44
Se: 0.5000 0.5000 0.2367  6 Se 2.96-3.06

Results
Space-group type: Cmm2 (35)
Formation energy without anion corrections (eV/atom): 0.469
Total energy (eV/atom): -4.011

---

Copy entry 4 word for word.
Material: Ru2SeBr
Method: DFT, PBE
State: optimized geometry

a = 3.0122 Å, b = 3.0122 Å, c = 10.0635 Å
α = 90.00°, β = 90.00°, γ = 122.20°
With the nearest neighbours (Å) after each atom.
Fractional coordinates of all 4 atoms:
Br: 0.5000 0.5000 0.8089  2 Ru 2.55
Ru: 0.0000 0.0000 0.0173  2 Br 2.55, 2 Ru 2.65
Ru: 0.5000 0.5000 0.2379  2 Se 2.47, 2 Ru 2.65
Se: 0.0000 0.0000 0.4360  2 Ru 2.47

Results
Space-group type: Cmm2 (35)
Formation energy without anion corrections (eV/atom): 0.628
Total energy (eV/atom): -5.299